Entry 1:
A relaxed structure of Nd12HoIn4O3. Source: Alexandria, functional GGA-PBE.

Cell lengths 8.958, 8.958, 8.958 Å; angles 109.47, 109.47, 109.47 degrees
Element x y z (fractional)
Nd 0.250 0.500 0.750
Nd 0.725 0.000 0.725
Nd 0.275 0.000 0.275
Nd 0.750 0.500 0.250
Nd 0.725 0.725 0.000
Nd 0.275 0.275 0.000
Nd 0.750 0.250 0.500
Nd 0.250 0.750 0.500
Nd 0.500 0.250 0.750
Nd 0.000 0.725 0.725
Nd 0.500 0.750 0.250
Nd 0.000 0.275 0.275
Ho 0.000 0.000 0.000
In 0.500 0.500 0.500
In 0.000 0.000 0.500
In 0.500 0.000 0.000
In 0.000 0.500 0.000
O 0.500 0.000 0.500
O 0.500 0.500 0.000
O 0.000 0.500 0.500

## Properties
E_form (uncorrected)   -18.3 kcal/mol of atoms

=====

Entry 2:
A relaxed structure of Ac3InP2N6. Source: Alexandria, functional GGA-PBE.

Cell lengths 5.748, 5.748, 6.786 Å; angles 90.00, 90.00, 120.00 degrees
Element x y z (fractional)
Ac 0.333 0.667 0.658
Ac 0.667 0.333 0.342
Ac 0.000 0.000 0.000
In 0.000 0.000 0.500
P 0.667 0.333 0.805
P 0.333 0.667 0.195
N 0.644 0.822 0.293
N 0.178 0.356 0.293
N 0.178 0.822 0.293
N 0.822 0.644 0.707
N 0.356 0.178 0.707
N 0.822 0.178 0.707

## Properties
E_form (uncorrected)   -19.1 kcal/mol of atoms

=====

Entry 3:
A relaxed structure of HoAg5. Source: Alexandria, functional GGA-PBE.

Cell lengths 5.250, 6.017, 9.065 Å; angles 90.00, 90.00, 125.46 degrees
Element x y z (fractional)
Ho 0.750 0.000 0.250
Ho 0.250 0.000 0.750
Ag 0.750 0.500 0.250
Ag 0.250 0.500 0.750
Ag 0.750 0.500 0.926
Ag 0.250 0.500 0.426
Ag 0.250 0.500 0.074
Ag 0.750 0.500 0.574
Ag 0.750 0.000 0.916
Ag 0.250 0.000 0.416
Ag 0.250 0.000 0.084
Ag 0.750 0.000 0.584

## Properties
Formation energy from the elements   -0.115 eV/atom